Compound: Pm2Sc3Pb2
Source: Alexandria via LeMat-Bulk
Functional: PBE-GGA
Structure: optimized geometry

Unit cell a=6.3770 b=6.3770 c=8.3221 alpha=111.68 beta=111.68 gamma=39.86
Closest atoms and distances in Å follow each position.
Sites, in units of the cell vectors:
Pm (0.1380, 0.1380, 0.2922)  4 Pb 3.28-3.55, 6 Sc 3.56-3.61
Pm (0.8620, 0.8620, 0.7078)  4 Pb 3.28-3.55, 6 Sc 3.56-3.61
Sc (0.3858, 0.3858, 0.0595)  3 Pb 3.04, 2 Sc 3.26-3.37
Sc (0.5000, 0.5000, 0.5000)  4 Pb 3.00
Sc (0.6142, 0.6142, 0.9405)  3 Pb 3.04, 2 Sc 3.26-3.37
Pb (0.1611, 0.1611, 0.7199)  5 Sc 3.00-3.04, 2 Pm 3.28
Pb (0.8389, 0.8389, 0.2801)  5 Sc 3.00-3.04, 2 Pm 3.28

Summary:
The formation energy from the elements comes out at -30.7 kJ/mol of atoms.

---

Compound: AcAl2
Source: Alexandria via LeMat-Bulk
Functional: PBE-GGA
Structure: optimized geometry

Unit cell a=5.8794 b=5.8794 c=9.8508 alpha=90.00 beta=90.00 gamma=120.00
Closest atoms and distances in Å follow each position.
Sites, in units of the cell vectors:
Ac (0.3333, 0.6667, 0.0665)  12 Al 3.45-3.54, 4 Ac 3.61-3.64
Ac (0.3333, 0.6667, 0.4335)  12 Al 3.45-3.54, 4 Ac 3.61-3.64
Ac (0.6667, 0.3333, 0.5665)  12 Al 3.45-3.54, 4 Ac 3.61-3.64
Ac (0.6667, 0.3333, 0.9335)  12 Al 3.45-3.54, 4 Ac 3.61-3.64
Al (0.0000, 0.0000, 0.0000)  6 Al 3.01
Al (0.0000, 0.0000, 0.5000)  6 Al 3.01
Al (0.1697, 0.3394, 0.7500)  6 Al 2.89-3.01
Al (0.1697, 0.8303, 0.7500)  6 Al 2.89-3.01
Al (0.3394, 0.1697, 0.2500)  6 Al 2.89-3.01
Al (0.6606, 0.8303, 0.7500)  6 Al 2.89-3.01
Al (0.8303, 0.1697, 0.2500)  6 Al 2.89-3.01
Al (0.8303, 0.6606, 0.2500)  6 Al 2.89-3.01

Summary:
The formation energy from the elements comes out at -33.0 kJ/mol of atoms.

---

Size of the total moment, respectively: 0.02 0.00 μB/f.u..
Calculated volume, respectively: 28.49 24.57 Å³ per atom.
Energy, respectively: -5.449 -4.206 eV/atom.